Record 1
FeHgRh2: relaxed, GGA-PBE. Values from VASP.

Quantum ESPRESSO input file:
```
&SYSTEM
  ibrav = 0, nat = 4, ntyp = 3
/
ATOMIC_SPECIES
Fe 55.84 Fe.upf
Hg 200.59 Hg.upf
Rh 102.91 Rh.upf
CELL_PARAMETERS angstrom
2.814 0.000 0.000
0.000 2.814 0.000
0.000 0.000 7.770
ATOMIC_POSITIONS crystal
Fe 0.000 0.000 0.000
Hg 0.500 0.500 0.270
Rh 0.000 0.000 0.546
Rh 0.500 0.500 0.782
```

V	15.38	Å³ per atom
calculated total energy	-22.669	eV per cell
spin magnetization	2.4	μB/cell
space group	P4mm
ΔH_f (0 K)	200	meV/atom

---

Record 2
SrReIr: relaxed, GGA-PBE. Values from VASP.

Quantum ESPRESSO input file:
```
&SYSTEM
  ibrav = 0, nat = 6, ntyp = 3
/
ATOMIC_SPECIES
Sr 87.62 Sr.upf
Re 186.21 Re.upf
Ir 192.22 Ir.upf
CELL_PARAMETERS angstrom
4.613 0.000 0.000
0.000 4.613 0.000
0.000 0.000 6.803
ATOMIC_POSITIONS crystal
Sr 0.250 0.250 0.146
Sr 0.750 0.750 0.854
Re 0.250 0.750 0.500
Re 0.750 0.250 0.500
Ir 0.250 0.250 0.647
Ir 0.750 0.750 0.353
```

V	24.13	Å³ per atom
calculated total energy	-45.376	eV per cell
spin magnetization	0.0	μB/cell
offset from the most stable computed form	0.18	eV/f.u.
space group	P4/nmm
ΔH_f (0 K)	101	meV/atom

---

Record 3
PmEuDyY: relaxed, GGA-PBE. Values from VASP.

Quantum ESPRESSO input file:
```
&SYSTEM
  ibrav = 0, nat = 4, ntyp = 4
/
ATOMIC_SPECIES
Pm 145.00 Pm.upf
Eu 151.96 Eu.upf
Dy 162.50 Dy.upf
Y 88.91 Y.upf
CELL_PARAMETERS angstrom
0.000 4.096 4.096
4.096 0.000 4.096
4.096 4.096 0.000
ATOMIC_POSITIONS crystal
Pm 0.000 0.000 0.000
Eu 0.500 0.500 0.500
Dy 0.250 0.250 0.250
Y 0.750 0.750 0.750
```

V	34.36	Å³ per atom
calculated total energy	-25.486	eV per cell
spin magnetization	7.3	μB/cell
space group	F-43m
ΔH_f (0 K)	151	meV/atom